YSc3W | Alexandria | PBE | optimized geometry; ΔE_f = 1745 meV/atom
1.0
4.916 0.000 0.000
0.000 4.916 0.000
0.000 0.000 4.916
Y Sc W
1 3 1
direct
0.000 0.000 0.000
0.500 0.000 0.000
0.000 0.500 0.000
0.000 0.000 0.500
0.500 0.500 0.500

=====

Cd3PN | Alexandria | PBE | optimized geometry; formation energy without anion corrections = 0.46 eV per atom
1.0
-1.738 -2.436 -3.431
3.197 -3.178 0.637
-2.736 -2.166 2.924
Cd N P
3 1 1
direct
0.500 0.000 0.000
0.000 0.500 0.000
0.000 0.000 0.500
0.000 0.000 0.000
0.500 0.500 0.500

=====

Cr3N | Alexandria | PBE | optimized geometry; formation energy without anion corrections = -0.06 eV per atom
1.0
-0.711 0.316 2.523
-1.515 -4.085 0.085
4.258 0.739 -0.275
N Cr
1 3
direct
0.000 0.050 0.000
0.684 0.051 0.367
0.500 0.382 0.000
0.316 0.684 0.633

=====

MgTlSe2Br | Alexandria | PBE | optimized geometry; formation energy without anion corrections = -0.43 eV per atom
1.0
-1.894 4.757 0.433
-4.777 -1.891 -0.112
0.060 -0.482 5.552
Se Mg Br Tl
2 1 1 1
direct
0.000 0.500 0.000
0.500 0.000 0.000
0.000 0.000 0.000
0.000 0.000 0.500
0.500 0.500 0.500

=====

NdBiPtRh | Alexandria | PBE | optimized geometry; ΔE_f = -539 meV/atom
1.0
-0.955 4.478 1.921
-1.445 0.415 4.732
3.073 1.962 3.371
Pt Rh Bi Nd
1 1 1 1
direct
0.250 0.250 0.250
0.750 0.750 0.750
0.000 0.000 0.000
0.500 0.500 0.500

=====

HgTe2Au | Alexandria | PBE | optimized geometry; formation energy without anion corrections = 0.05 eV per atom
1.0
8.250 0.000 0.000
0.000 8.368 0.000
0.000 0.000 7.326
Te Au Hg
8 4 4
direct
0.806 0.603 0.175
0.995 0.665 0.718
0.495 0.835 0.718
0.505 0.165 0.218
0.005 0.335 0.218
0.306 0.897 0.175
0.694 0.103 0.675
0.194 0.397 0.675
0.201 0.863 0.525
0.299 0.363 0.025
0.799 0.137 0.025
0.701 0.637 0.525
0.408 0.556 0.331
0.092 0.056 0.831
0.908 0.944 0.331
0.592 0.444 0.831

=====

SrHgN2 | Alexandria | PBE | optimized geometry; formation energy without anion corrections = 0.54 eV per atom
1.0
2.323 0.000 6.465
-1.162 2.012 6.465
-1.162 -2.012 6.465
Sr N Hg
1 2 1
direct
0.500 0.500 0.500
0.898 0.898 0.898
0.102 0.102 0.102
0.000 0.000 0.000

=====

LiPt2Cl | Alexandria | PBE | optimized geometry; formation energy without anion corrections = -0.19 eV per atom
1.0
-1.360 -1.276 2.108
3.820 -2.281 1.083
1.362 3.783 3.167
Pt Li Cl
2 1 1
direct
0.000 0.000 0.000
0.500 0.500 0.000
0.000 0.500 0.500
0.500 0.000 0.500

=====

Pr2YBi | Alexandria | PBE | optimized geometry; ΔE_f = 5 meV/atom
1.0
3.611 0.000 0.000
1.805 3.127 0.000
1.805 1.042 12.493
Y Bi Pr
1 1 2
direct
0.500 0.500 0.500
0.000 0.000 0.000
0.087 0.087 0.738
0.913 0.913 0.262

=====

Tb11Pm4Tm9 | Alexandria | PBE | optimized geometry; ΔE_f = 59 meV/atom
1.0
-2.667 0.830 -2.374
-8.548 -10.938 5.777
-2.013 13.217 6.881
Pm Tm Tb
4 9 11
direct
0.500 0.245 0.446
0.500 0.755 0.554
0.500 0.554 0.755
0.500 0.446 0.245
0.500 0.366 0.837
0.500 0.934 0.788
0.500 0.066 0.212
0.500 0.163 0.634
0.500 0.788 0.934
0.500 0.837 0.366
0.500 0.634 0.163
0.500 0.212 0.066
0.500 0.500 0.500
0.000 0.407 0.045
0.000 0.365 0.635
0.000 0.711 0.711
0.000 0.045 0.407
0.000 0.593 0.955
0.000 0.000 0.000
0.000 0.159 0.841
0.000 0.635 0.365
0.000 0.955 0.593
0.000 0.841 0.159
0.000 0.289 0.289

=====

CdOs | Alexandria | PBE | optimized geometry; ΔE_f = 594 meV/atom
1.0
-1.752 2.092 0.920
-2.727 -3.482 -1.782
0.412 -1.830 4.944
Os Cd
2 2
direct
0.758 0.515 0.292
0.492 0.985 0.458
0.246 0.491 0.757
0.004 0.009 0.993

=====

Mg5Cd2Ni2Hg | Alexandria | PBE | optimized geometry; ΔE_f = -92 meV/atom
1.0
3.858 0.000 0.000
0.000 9.994 0.000
0.000 0.000 9.994
Mg Ni Cd Hg
10 4 4 2
direct
0.500 0.290 0.578
0.500 0.922 0.210
0.500 0.210 0.078
0.500 0.578 0.710
0.500 0.078 0.790
0.500 0.500 0.000
0.500 0.000 0.500
0.500 0.790 0.922
0.500 0.422 0.290
0.500 0.710 0.422
0.000 0.619 0.881
0.000 0.119 0.619
0.000 0.381 0.119
0.000 0.881 0.381
0.000 0.330 0.830
0.000 0.170 0.330
0.000 0.670 0.170
0.000 0.830 0.670
0.000 0.000 0.000
0.000 0.500 0.500

=====

The following is a DFT calculation (PBE) of an optimized crystal structure of MgNi3H.

POSCAR file:
```
MgNi3H
1.0
-1.386 -1.638 1.352
-5.259 1.454 -3.632
4.932 -4.313 -0.169
Ni H Mg
3 1 1
direct
0.000 0.276 0.724
0.500 0.668 0.851
0.500 0.149 0.332
0.000 0.440 0.560
0.500 0.095 0.905
```

=====

MgI2NO | Alexandria | PBE | optimized geometry; formation energy without anion corrections = 0.55 eV per atom
1.0
-4.311 -3.404 -3.148
4.408 -4.344 -1.339
-0.819 -1.766 3.031
I Mg N O
2 1 1 1
direct
0.500 0.000 0.000
0.000 0.500 0.000
0.000 0.000 0.000
0.500 0.500 0.500
0.000 0.000 0.500

=====

SiSb2P | Alexandria | PBE | optimized geometry; formation energy without anion corrections = 0.21 eV per atom
1.0
6.512 0.011 0.004
5.658 3.225 0.004
1.777 0.473 4.760
Sb Si P
2 1 1
direct
0.794 0.794 0.665
0.963 0.963 0.064
0.607 0.607 0.544
0.136 0.136 0.228

=====

LiCr2HgS | Alexandria | PBE | optimized geometry; formation energy without anion corrections = 0.40 eV per atom
1.0
-1.507 -1.456 3.841
3.892 -4.642 -0.232
2.997 2.409 2.089
Hg Li S Cr
1 1 1 2
direct
0.000 0.500 0.000
0.500 0.500 0.500
0.000 0.000 0.000
0.500 0.000 0.000
0.000 0.000 0.500

=====

ThAu3 | Alexandria | PBE | optimized geometry; ΔE_f = -614 meV/atom
1.0
4.993 0.000 0.000
2.496 4.324 0.000
2.496 1.441 4.077
Au Th
3 1
direct
0.250 0.250 0.250
0.500 0.500 0.500
0.000 0.000 0.000
0.750 0.750 0.750

=====

Y2HoTh2 | Alexandria | PBE | optimized geometry; ΔE_f = 302 meV/atom
1.0
8.469 1.206 1.740
-2.339 5.943 0.325
-2.339 -1.782 5.679
Y Th Ho
4 4 2
direct
0.632 0.060 0.254
0.868 0.746 0.940
0.132 0.254 0.060
0.368 0.940 0.746
0.500 0.500 0.500
0.500 0.500 0.000
0.000 0.000 0.500
0.000 0.500 0.500
0.750 0.204 0.796
0.250 0.796 0.204

=====

HfBiP | Alexandria | PBE | optimized geometry; ΔE_f = -204 meV/atom
1.0
-2.126 -0.645 3.187
3.131 -8.484 0.372
6.898 2.772 5.163
Hf Bi P
4 4 4
direct
0.500 0.679 0.263
0.000 0.263 0.321
0.000 0.737 0.679
0.500 0.321 0.737
0.000 0.055 0.764
0.000 0.945 0.236
0.500 0.236 0.055
0.500 0.764 0.945
0.000 0.516 0.201
0.500 0.799 0.516
0.000 0.484 0.799
0.500 0.201 0.484

=====

Dy4HoTh4 | Alexandria | PBE | optimized geometry; ΔE_f = 45 meV/atom
1.0
4.781 0.000 1.619
2.390 7.536 0.810
-0.027 0.000 7.947
Th Dy Ho
4 4 1
direct
0.334 0.332 0.000
0.666 0.668 0.000
0.334 0.000 0.332
0.666 0.000 0.668
0.000 0.329 0.671
0.000 0.671 0.329
0.329 0.671 0.671
0.671 0.329 0.329
0.000 0.000 0.000

=====

For the records above, the corresponding E values read -5.937; -2.835; -9.363; -2.949; -6.049; -2.414; -4.121; -4.149; -4.971; -4.531; -5.478; -2.259; -4.040; -3.046; -4.562; -4.719; -4.927; -6.167; -6.619; -5.806 eV/atom.